# 1
Crystalline Sc2MnOs at its relaxed geometry, computed with PBE-GGA.

The structure belongs to space group P4mm (No. 99); the cell edges are 2.9195, 2.9195 and 8.2356 Å and the angles 90.00°, 90.00° and 90.00°. The inequivalent atoms are Sc at (0.0000, 0.0000, 0.0000), Sc at (0.5000, 0.5000, 0.3621), Mn at (0.0000, 0.0000, 0.5893) and Os at (0.5000, 0.5000, 0.7594).

The crystal system is tetragonal. For the calculated formation energy, the calculation gives -0.078 eV/atom. For the mass density, the calculation gives 7.9 g/cm3.

***

# 2
Crystalline ScMn3Os at its relaxed geometry, computed with PBE-GGA.

The structure belongs to space group Pm-3m (No. 221); the cell edges are 4.6001, 4.6001 and 4.6001 Å and the angles 90.00°, 90.00° and 90.00°. The inequivalent atoms are Sc at (0.0000, 0.0000, 0.0000), Mn at (0.0000, 0.5000, 0.5000) and Os at (0.5000, 0.5000, 0.5000).

The crystal system is cubic. For the calculated formation energy, the calculation gives 0.888 eV/atom. For the mass density, the calculation gives 6.8 g/cm3.

***

# 3
Crystalline ScMnOs3 at its relaxed geometry, computed with PBE-GGA.

The structure belongs to space group Pm-3m (No. 221); the cell edges are 4.4456, 4.4456 and 4.4456 Å and the angles 90.00°, 90.00° and 90.00°. The inequivalent atoms are Sc at (0.0000, 0.0000, 0.0000), Mn at (0.5000, 0.5000, 0.5000) and Os at (0.0000, 0.5000, 0.5000).

The crystal system is cubic. For the calculated formation energy, the calculation gives 0.978 eV/atom. For the mass density, the calculation gives 12.7 g/cm3.

***

# 4
Crystalline ScMn2Os at its relaxed geometry, computed with PBE-GGA.

The structure belongs to space group F-43m (No. 216); the cell edges are 6.0939, 6.0939 and 6.0939 Å and the angles 90.00°, 90.00° and 90.00°. The inequivalent atoms are Sc at (0.0000, 0.0000, 0.0000), Mn at (0.0000, 0.0000, 0.5000), Mn at (0.2500, 0.2500, 0.2500) and Os at (0.2500, 0.2500, 0.7500).

The crystal system is cubic. For the calculated formation energy, the calculation gives 0.111 eV/atom. For the mass density, the calculation gives 10.1 g/cm3.

***

# 5
Crystalline ScMnOs at its relaxed geometry, computed with PBE-GGA.

The structure belongs to space group P-6m2 (No. 187); the cell edges are 4.2829, 4.2829 and 3.0674 Å and the angles 90.00°, 90.00° and 120.00°. The inequivalent atoms are Sc at (0.0000, 0.0000, 0.0000), Mn at (0.6667, 0.3333, 0.5000) and Os at (0.3333, 0.6667, 0.5000).

The crystal system is hexagonal. For the calculated formation energy, the calculation gives 0.035 eV/atom. For the mass density, the calculation gives 9.9 g/cm3.

***

# 6
Crystalline ScMn2Os at its relaxed geometry, computed with PBE-GGA.

The structure belongs to space group I-42d (No. 122); the cell edges are 7.0454, 7.0454 and 5.3438 Å and the angles 90.00°, 90.00° and 90.00°. The inequivalent atoms are Sc at (0.0000, 0.0000, 0.0000), Mn at (0.2080, 0.7500, 0.6250) and Os at (0.0000, 0.0000, 0.5000).

The crystal system is tetragonal. For the calculated formation energy, the calculation gives 0.429 eV/atom. For the mass density, the calculation gives 8.6 g/cm3.

***

# 7
Crystalline Sc2MnOs at its relaxed geometry, computed with PBE-GGA.

The structure belongs to space group I-42d (No. 122); the cell edges are 7.2699, 7.2699 and 5.6835 Å and the angles 90.00°, 90.00° and 90.00°. The inequivalent atoms are Sc at (0.2305, 0.2500, 0.1250), Mn at (0.0000, 0.0000, 0.5000) and Os at (0.0000, 0.0000, 0.0000).

The crystal system is tetragonal. For the calculated formation energy, the calculation gives 0.331 eV/atom. For the mass density, the calculation gives 7.4 g/cm3.

***

# 8
Crystalline ScMn2Os at its relaxed geometry, computed with PBE-GGA.

The structure belongs to space group P2/m (No. 10); the cell edges are 2.7749, 4.0365 and 5.3965 Å and the angles 90.00°, 101.91° and 90.00°. The inequivalent atoms are Sc at (0.0000, 0.0000, 0.0000), Mn at (0.4617, 0.5000, 0.7227) and Os at (0.0000, 0.0000, 0.5000).

The crystal system is monoclinic. For the calculated formation energy, the calculation gives 0.125 eV/atom. For the mass density, the calculation gives 9.7 g/cm3.

***

# 9
Crystalline ScMn2Os at its relaxed geometry, computed with PBE-GGA.

The structure belongs to space group Pmmm (No. 47); the cell edges are 3.2112, 4.2690 and 4.2825 Å and the angles 90.00°, 90.00° and 90.00°. The inequivalent atoms are Sc at (0.0000, 0.0000, 0.0000), Mn at (0.0000, 0.5000, 0.5000), Mn at (0.5000, 0.0000, 0.5000) and Os at (0.5000, 0.5000, 0.0000).

The crystal system is orthorhombic. For the calculated formation energy, the calculation gives 0.112 eV/atom. For the mass density, the calculation gives 9.8 g/cm3.

***

# 10
Crystalline Sc2MnOs at its relaxed geometry, computed with PBE-GGA.

The structure belongs to space group Pmm2 (No. 25); the cell edges are 2.9651, 4.2826 and 5.5119 Å and the angles 90.00°, 90.00° and 90.00°. The inequivalent atoms are Sc at (0.0000, 0.0000, 0.0000), Sc at (0.5000, 0.5000, 0.3174), Mn at (0.0000, 0.0000, 0.5353) and Os at (0.5000, 0.5000, 0.8004).

The crystal system is orthorhombic. For the calculated formation energy, the calculation gives 0.092 eV/atom. For the mass density, the calculation gives 7.9 g/cm3.

***

# 11
Crystalline Sc2MnOs at its relaxed geometry, computed with PBE-GGA.

The structure belongs to space group Imm2 (No. 44); the cell edges are 3.1794, 4.5526 and 9.6458 Å and the angles 90.00°, 90.00° and 90.00°. The inequivalent atoms are Sc at (0.0000, 0.0000, 0.0000), Sc at (0.0000, 0.5000, 0.2184), Mn at (0.0000, 0.5000, 0.7749) and Os at (0.0000, 0.0000, 0.4758).

The crystal system is orthorhombic. For the calculated formation energy, the calculation gives -0.162 eV/atom. For the mass density, the calculation gives 8.0 g/cm3.

***

# 12
Crystalline ScMn2Os at its relaxed geometry, computed with PBE-GGA.

The structure belongs to space group Imm2 (No. 44); the cell edges are 3.0284, 4.3321 and 8.7268 Å and the angles 90.00°, 90.00° and 90.00°. The inequivalent atoms are Sc at (0.0000, 0.0000, 0.0000), Mn at (0.0000, 0.0000, 0.4983), Mn at (0.0000, 0.5000, 0.2296) and Os at (0.0000, 0.5000, 0.7677).

The crystal system is orthorhombic. For the calculated formation energy, the calculation gives 0.046 eV/atom. For the mass density, the calculation gives 10.0 g/cm3.

***

no.,ΔE to the lowest computed polymorph (eV/atom)
1,0.104
2,0.000
3,0.000
4,0.065
5,0.366
6,0.384
7,0.513
8,0.079
9,0.066
10,0.274
11,0.020
12,0.000